# 1
Density functional theory data (PBE) for a geometry-optimized Dy4MgIr structure.

Cell lengths 9.700, 9.700, 9.700 Å; angles 60.00, 60.00, 60.00 degrees
Element x y z (fractional)
Dy: 0.187 0.187 0.813
Dy: 0.187 0.813 0.187
Dy: 0.187 0.813 0.813
Dy: 0.403 0.403 0.403
Dy: 0.403 0.403 0.791
Dy: 0.403 0.791 0.403
Dy: 0.562 0.562 0.938
Dy: 0.562 0.938 0.562
Dy: 0.562 0.938 0.938
Dy: 0.791 0.403 0.403
Dy: 0.813 0.187 0.187
Dy: 0.813 0.187 0.813
Dy: 0.813 0.813 0.187
Dy: 0.938 0.562 0.562
Dy: 0.938 0.562 0.938
Dy: 0.938 0.938 0.562
Mg: 0.170 0.170 0.170
Mg: 0.170 0.170 0.489
Mg: 0.170 0.489 0.170
Mg: 0.489 0.170 0.170
Ir: 0.174 0.609 0.609
Ir: 0.609 0.174 0.609
Ir: 0.609 0.609 0.174
Ir: 0.609 0.609 0.609

Calculated values
Its energy above the lowest structure with this stoichiometry is 0 meV per atom. The uncorrected energy is -5.24 eV per atom. The total magnetization is 0.000 μB per cell.

***

# 2
Density functional theory data (PBE) for a geometry-optimized CuSn2Mo structure.

Cell lengths 4.730, 4.730, 4.730 Å; angles 60.00, 60.00, 60.00 degrees
Element x y z (fractional)
Cu: 0.000 0.000 0.000
Sn: 0.250 0.250 0.250
Sn: 0.750 0.750 0.750
Mo: 0.500 0.500 0.500

Calculated values
Its energy above the lowest structure with this stoichiometry is 0 meV per atom. The uncorrected energy is -5.26 eV per atom. The total magnetization is 0.749 μB per cell.

***

# 3
Density functional theory data (PBE) for a geometry-optimized Ba2Cd9Pt3 structure.

Cell lengths 8.617, 8.617, 11.947 Å; angles 112.89, 112.89, 57.13 degrees
Element x y z (fractional)
Ba: 0.104 0.243 0.241
Ba: 0.243 0.104 0.741
Ba: 0.757 0.896 0.259
Ba: 0.896 0.757 0.759
Cd: 0.027 0.853 0.079
Cd: 0.147 0.973 0.421
Cd: 0.192 0.366 0.561
Cd: 0.231 0.568 0.254
Cd: 0.319 0.492 0.960
Cd: 0.340 0.660 0.750
Cd: 0.366 0.192 0.061
Cd: 0.432 0.769 0.246
Cd: 0.492 0.319 0.460
Cd: 0.508 0.681 0.540
Cd: 0.568 0.231 0.754
Cd: 0.634 0.808 0.939
Cd: 0.660 0.340 0.250
Cd: 0.681 0.508 0.040
Cd: 0.769 0.432 0.746
Cd: 0.808 0.634 0.439
Cd: 0.853 0.027 0.579
Cd: 0.973 0.147 0.921
Pt: 0.000 0.500 0.000
Pt: 0.145 0.678 0.492
Pt: 0.322 0.855 0.008
Pt: 0.500 0.000 0.500
Pt: 0.678 0.145 0.992
Pt: 0.855 0.322 0.508

Calculated values
The uncorrected energy is -2.51 eV per atom. The total magnetization is 0.000 μB per cell.